(1)
4
Lattice="0.000 3.180 3.180 3.180 0.000 3.180 3.180 3.180 0.000" Properties=species:S:1:pos:R:3 comment="ReW2Se (PBE, optimized geometry)" raw_formation_energy_kj_per_mol_atoms=67 magmom_total_mub_per_fu=0.00 sg=F-43m pbc="T T T"
Re 0.000 0.000 0.000
W 3.180 3.180 3.180
W 4.771 4.771 4.771
Se 1.590 1.590 1.590

(2)
8
Lattice="5.976 -3.626 0.000 5.976 3.626 0.000 -2.474 0.000 4.888" Properties=species:S:1:pos:R:3 comment="Re2WSe5 (PBE, optimized geometry)" raw_formation_energy_kj_per_mol_atoms=25 magmom_total_mub_per_fu=0.00 sg=Cm pbc="T T T"
Re 0.000 0.000 0.000
Re 5.766 0.000 2.885
W 7.198 0.000 0.532
Se 3.798 1.552 3.585
Se 6.756 2.051 1.863
Se 3.798 -1.552 3.585
Se 7.160 0.000 4.870
Se 6.756 -2.051 1.863

(3)
4
Lattice="3.087 0.000 0.000 0.000 3.087 0.000 0.000 0.000 6.705" Properties=species:S:1:pos:R:3 comment="ReW2Se (PBE, optimized geometry)" raw_formation_energy_kj_per_mol_atoms=32 magmom_total_mub_per_fu=0.00 sg=P4mm pbc="T T T"
Re 0.000 0.000 0.000
W 0.000 0.000 3.408
W 1.543 1.543 5.189
Se 1.543 1.543 1.862

no.,E_tot (eV for the cell shown)
1,-39.059
2,-53.217
3,-40.514